# SiMo2As, single point on PBEsol structure, DFT SCAN
data_SiMo2As
_chemical_formula_sum 'Si4 Mo8 As4'
_symmetry_space_group_name_H-M 'I -4 2 d'
_symmetry_Int_Tables_number 122
_symmetry_space_group_name_Hall 'I -4 2bw'
_cell_length_a 3.7737
_cell_length_b 3.7737
_cell_length_c 17.8165
_cell_angle_alpha 90.00
_cell_angle_beta 90.00
_cell_angle_gamma 90.00
loop_
_atom_site_label
_atom_site_type_symbol
_atom_site_fract_x
_atom_site_fract_y
_atom_site_fract_z
Si1 Si 0.0000 0.0000 0.0000
Mo1 Mo 0.2494 0.2500 0.1250
As1 As 0.0000 0.0000 0.5000
# ΔE to the lowest computed polymorph: 1.05 eV/f.u.
# Energy relative to the elements, uncorrected: 0.379 eV/atom

# SiMo2As, single point on PBEsol structure, DFT SCAN
data_SiMo2As
_chemical_formula_sum 'Si3 Mo6 As3'
_symmetry_space_group_name_H-M 'R -3 m'
_symmetry_Int_Tables_number 166
_symmetry_space_group_name_Hall '-R 3 2"'
_cell_length_a 2.9352
_cell_length_b 2.9352
_cell_length_c 23.7682
_cell_angle_alpha 90.00
_cell_angle_beta 90.00
_cell_angle_gamma 120.00
loop_
_atom_site_label
_atom_site_type_symbol
_atom_site_fract_x
_atom_site_fract_y
_atom_site_fract_z
Si1 Si 0.0000 0.0000 0.0000
Mo1 Mo 0.0000 0.0000 0.2496
As1 As 0.0000 0.0000 0.5000
# ΔE to the lowest computed polymorph: 0.00 eV/f.u.
# Energy relative to the elements, uncorrected: 0.118 eV/atom

# SnMo3As, single point on PBEsol structure, DFT SCAN
data_SnMo3As
_chemical_formula_sum 'Sn1 Mo3 As1'
_symmetry_space_group_name_H-M 'P m -3 m'
_symmetry_Int_Tables_number 221
_symmetry_space_group_name_Hall '-P 4 2 3'
_cell_length_a 4.8547
_cell_length_b 4.8547
_cell_length_c 4.8547
_cell_angle_alpha 90.00
_cell_angle_beta 90.00
_cell_angle_gamma 90.00
loop_
_atom_site_label
_atom_site_type_symbol
_atom_site_fract_x
_atom_site_fract_y
_atom_site_fract_z
Sn1 Sn 0.0000 0.0000 0.0000
Mo1 Mo 0.0000 0.0000 0.5000
As1 As 0.5000 0.5000 0.5000
# Calculated formation energy: 2.3638 eV per atom

# SnMoAs3, single point on PBEsol structure, DFT SCAN
data_SnMoAs3
_chemical_formula_sum 'Sn1 Mo1 As3'
_symmetry_space_group_name_H-M 'P m -3 m'
_symmetry_Int_Tables_number 221
_symmetry_space_group_name_Hall '-P 4 2 3'
_cell_length_a 4.8640
_cell_length_b 4.8640
_cell_length_c 4.8640
_cell_angle_alpha 90.00
_cell_angle_beta 90.00
_cell_angle_gamma 90.00
loop_
_atom_site_label
_atom_site_type_symbol
_atom_site_fract_x
_atom_site_fract_y
_atom_site_fract_z
Sn1 Sn 0.0000 0.0000 0.0000
Mo1 Mo 0.5000 0.5000 0.5000
As1 As 0.0000 0.5000 0.5000
# Calculated formation energy: 0.4979 eV per atom

# SrMoAs2, single point on PBEsol structure, DFT SCAN
data_SrMoAs2
_chemical_formula_sum 'Sr4 Mo4 As8'
_symmetry_space_group_name_H-M 'F -4 3 m'
_symmetry_Int_Tables_number 216
_symmetry_space_group_name_Hall 'F -4 2 3'
_cell_length_a 6.8036
_cell_length_b 6.8036
_cell_length_c 6.8036
_cell_angle_alpha 90.00
_cell_angle_beta 90.00
_cell_angle_gamma 90.00
loop_
_atom_site_label
_atom_site_type_symbol
_atom_site_fract_x
_atom_site_fract_y
_atom_site_fract_z
Sr1 Sr 0.0000 0.0000 0.0000
Mo1 Mo 0.2500 0.2500 0.7500
As1 As 0.0000 0.0000 0.5000
As2 As 0.2500 0.2500 0.2500
# ΔE to the lowest computed polymorph: 4.00 eV/f.u.
# Calculated formation energy: 0.5282 eV per atom

# Sr3MoAs, single point on PBEsol structure, DFT SCAN
data_Sr3MoAs
_chemical_formula_sum 'Sr3 Mo1 As1'
_symmetry_space_group_name_H-M 'P m -3 m'
_symmetry_Int_Tables_number 221
_symmetry_space_group_name_Hall '-P 4 2 3'
_cell_length_a 5.8740
_cell_length_b 5.8740
_cell_length_c 5.8740
_cell_angle_alpha 90.00
_cell_angle_beta 90.00
_cell_angle_gamma 90.00
loop_
_atom_site_label
_atom_site_type_symbol
_atom_site_fract_x
_atom_site_fract_y
_atom_site_fract_z
Sr1 Sr 0.0000 0.0000 0.5000
Mo1 Mo 0.5000 0.5000 0.5000
As1 As 0.0000 0.0000 0.0000
# Calculated formation energy: 0.1736 eV per atom

# SrMoAs2, single point on PBEsol structure, DFT SCAN
data_SrMoAs2
_chemical_formula_sum 'Sr2 Mo2 As4'
_symmetry_space_group_name_H-M 'C m m m'
_symmetry_Int_Tables_number 65
_symmetry_space_group_name_Hall '-C 2 2'
_cell_length_a 6.1489
_cell_length_b 7.3308
_cell_length_c 3.4910
_cell_angle_alpha 90.00
_cell_angle_beta 90.00
_cell_angle_gamma 90.00
loop_
_atom_site_label
_atom_site_type_symbol
_atom_site_fract_x
_atom_site_fract_y
_atom_site_fract_z
Sr1 Sr 0.0000 0.0000 0.0000
Mo1 Mo 0.0000 0.5000 0.0000
As1 As 0.2500 0.2500 0.5000
# ΔE to the lowest computed polymorph: 2.44 eV/f.u.
# Calculated formation energy: 0.1371 eV per atom

# SrMo2As, single point on PBEsol structure, DFT SCAN
data_SrMo2As
_chemical_formula_sum 'Sr2 Mo4 As2'
_symmetry_space_group_name_H-M 'C 1 2/m 1'
_symmetry_Int_Tables_number 12
_symmetry_space_group_name_Hall '-C 2y'
_cell_length_a 5.8806
_cell_length_b 10.3925
_cell_length_c 2.7328
_cell_angle_alpha 90.00
_cell_angle_beta 117.30
_cell_angle_gamma 90.00
loop_
_atom_site_label
_atom_site_type_symbol
_atom_site_fract_x
_atom_site_fract_y
_atom_site_fract_z
Sr1 Sr 0.0000 0.0000 0.0000
Mo1 Mo 0.2500 0.2500 0.0000
As1 As 0.0000 0.5000 0.0000
# Calculated formation energy: 0.8183 eV per atom

# SrMoAs2, single point on PBEsol structure, DFT SCAN
data_SrMoAs2
_chemical_formula_sum 'Sr3 Mo3 As6'
_symmetry_space_group_name_H-M 'R -3 m'
_symmetry_Int_Tables_number 166
_symmetry_space_group_name_Hall '-R 3 2"'
_cell_length_a 3.7505
_cell_length_b 3.7505
_cell_length_c 20.9625
_cell_angle_alpha 90.00
_cell_angle_beta 90.00
_cell_angle_gamma 120.00
loop_
_atom_site_label
_atom_site_type_symbol
_atom_site_fract_x
_atom_site_fract_y
_atom_site_fract_z
Sr1 Sr 0.0000 0.0000 0.0000
Mo1 Mo 0.0000 0.0000 0.5000
As1 As 0.0000 0.0000 0.2338
# ΔE to the lowest computed polymorph: 0.00 eV/f.u.
# Calculated formation energy: -0.4726 eV per atom

# SrMo2As, single point on PBEsol structure, DFT SCAN
data_SrMo2As
_chemical_formula_sum 'Sr2 Mo4 As2'
_symmetry_space_group_name_H-M 'C m m m'
_symmetry_Int_Tables_number 65
_symmetry_space_group_name_Hall '-C 2 2'
_cell_length_a 3.4942
_cell_length_b 4.8380
_cell_length_c 8.9828
_cell_angle_alpha 90.00
_cell_angle_beta 90.00
_cell_angle_gamma 90.00
loop_
_atom_site_label
_atom_site_type_symbol
_atom_site_fract_x
_atom_site_fract_y
_atom_site_fract_z
Sr1 Sr 0.0000 0.0000 0.0000
Mo1 Mo 0.0000 0.5000 0.3022
As1 As 0.0000 0.0000 0.5000
# Calculated formation energy: 0.7518 eV per atom

# SrMo2As, single point on PBEsol structure, DFT SCAN
data_SrMo2As
_chemical_formula_sum 'Sr2 Mo4 As2'
_symmetry_space_group_name_H-M 'I 4/m m m'
_symmetry_Int_Tables_number 139
_symmetry_space_group_name_Hall '-I 4 2'
_cell_length_a 3.9471
_cell_length_b 3.9471
_cell_length_c 9.9036
_cell_angle_alpha 90.00
_cell_angle_beta 90.00
_cell_angle_gamma 90.00
loop_
_atom_site_label
_atom_site_type_symbol
_atom_site_fract_x
_atom_site_fract_y
_atom_site_fract_z
Sr1 Sr 0.0000 0.0000 0.0000
Mo1 Mo 0.0000 0.5000 0.2500
As1 As 0.0000 0.0000 0.5000
# Calculated formation energy: 0.8645 eV per atom

# Ta4MoAs, single point on PBEsol structure, DFT SCAN
data_Ta4MoAs
_chemical_formula_sum 'Ta16 Mo4 As4'
_symmetry_space_group_name_H-M 'F -4 3 m'
_symmetry_Int_Tables_number 216
_symmetry_space_group_name_Hall 'F -4 2 3'
_cell_length_a 7.5285
_cell_length_b 7.5285
_cell_length_c 7.5285
_cell_angle_alpha 90.00
_cell_angle_beta 90.00
_cell_angle_gamma 90.00
loop_
_atom_site_label
_atom_site_type_symbol
_atom_site_fract_x
_atom_site_fract_y
_atom_site_fract_z
Ta1 Ta 0.1247 0.1247 0.1247
Mo1 Mo 0.2500 0.2500 0.7500
As1 As 0.0000 0.0000 0.5000
# Calculated formation energy: 0.4849 eV per atom

# TaMoAs2, single point on PBEsol structure, DFT SCAN
data_TaMoAs2
_chemical_formula_sum 'Ta1 Mo1 As2'
_symmetry_space_group_name_H-M 'P m m m'
_symmetry_Int_Tables_number 47
_symmetry_space_group_name_Hall '-P 2 2'
_cell_length_a 3.3681
_cell_length_b 3.9283
_cell_length_c 4.9035
_cell_angle_alpha 90.00
_cell_angle_beta 90.00
_cell_angle_gamma 90.00
loop_
_atom_site_label
_atom_site_type_symbol
_atom_site_fract_x
_atom_site_fract_y
_atom_site_fract_z
Ta1 Ta 0.0000 0.0000 0.0000
Mo1 Mo 0.5000 0.0000 0.5000
As1 As 0.0000 0.5000 0.5000
As2 As 0.5000 0.5000 0.0000
# Calculated formation energy: 0.2022 eV per atom

# TaMoAs2, single point on PBEsol structure, DFT SCAN
data_TaMoAs2
_chemical_formula_sum 'Ta3 Mo3 As6'
_symmetry_space_group_name_H-M 'R -3 m'
_symmetry_Int_Tables_number 166
_symmetry_space_group_name_Hall '-R 3 2"'
_cell_length_a 3.0817
_cell_length_b 3.0817
_cell_length_c 23.5025
_cell_angle_alpha 90.00
_cell_angle_beta 90.00
_cell_angle_gamma 120.00
loop_
_atom_site_label
_atom_site_type_symbol
_atom_site_fract_x
_atom_site_fract_y
_atom_site_fract_z
Ta1 Ta 0.0000 0.0000 0.0000
Mo1 Mo 0.0000 0.0000 0.5000
As1 As 0.0000 0.0000 0.2467
# Calculated formation energy: 0.0933 eV per atom

# TaMoAs, single point on PBEsol structure, DFT SCAN
data_TaMoAs
_chemical_formula_sum 'Ta1 Mo1 As1'
_symmetry_space_group_name_H-M 'P 3 m 1'
_symmetry_Int_Tables_number 156
_symmetry_space_group_name_Hall 'P 3 -2"'
_cell_length_a 3.0034
_cell_length_b 3.0034
_cell_length_c 6.2579
_cell_angle_alpha 90.00
_cell_angle_beta 90.00
_cell_angle_gamma 120.00
loop_
_atom_site_label
_atom_site_type_symbol
_atom_site_fract_x
_atom_site_fract_y
_atom_site_fract_z
Ta1 Ta 0.0000 0.0000 0.0000
Mo1 Mo 0.6667 0.3333 0.3652
As1 As 0.3333 0.6667 0.6658
# Calculated formation energy: 0.1687 eV per atom